Record 1
# AsPdSe2O, relaxed, DFT PBE
data_AsPdSe2O
_chemical_formula_sum 'As1 Pd1 Se2 O1'
_cell_length_a 5.0223
_cell_length_b 5.0223
_cell_length_c 4.7588
_cell_angle_alpha 90.00
_cell_angle_beta 90.00
_cell_angle_gamma 90.00
_space_group_name_H-M_alt 'P 1'
_space_group_IT_number 1
_space_group_name_Hall 'P 1'
loop_
_atom_site_label
_atom_site_fract_x
_atom_site_fract_y
_atom_site_fract_z
Se1 0.5000 0.0000 0.0000
Se2 0.0000 0.5000 0.0000
Pd1 0.0000 0.0000 0.0000
O1 0.5000 0.5000 0.5000
As1 0.0000 0.0000 0.5000
# - V: 24.0 Å³ per atom
# - E: -3.40 eV/atom


Record 2
# TiPdC, relaxed, DFT PBE
data_TiPdC
_chemical_formula_sum 'Ti6 Pd6 C6'
_cell_length_a 5.0861
_cell_length_b 7.8030
_cell_length_c 7.8030
_cell_angle_alpha 54.73
_cell_angle_beta 70.98
_cell_angle_gamma 70.98
_space_group_name_H-M_alt 'P 1'
_space_group_IT_number 1
_space_group_name_Hall 'P 1'
loop_
_atom_site_label
_atom_site_fract_x
_atom_site_fract_y
_atom_site_fract_z
C1 0.9689 0.7238 0.6273
C2 0.7868 0.0000 0.0000
C3 0.3200 0.2762 0.3727
C4 0.3200 0.8727 0.7762
C5 0.9689 0.1273 0.2238
C6 0.7868 0.5000 0.5000
Pd1 0.2092 0.9658 0.4658
Pd2 0.0302 0.4199 0.9199
Pd3 0.5474 0.2488 0.7488
Pd4 0.5451 0.7512 0.2512
Pd5 0.6408 0.0342 0.5342
Pd6 0.3700 0.5801 0.0801
Ti1 0.5955 0.6193 0.6942
Ti2 0.9091 0.8058 0.8807
Ti3 0.1138 0.1964 0.6964
Ti4 0.9091 0.3807 0.3058
Ti5 0.5955 0.1942 0.1193
Ti6 0.0066 0.8036 0.3036
# - ΔE_f: -1 meV/atom
# - V: 13.1 Å³ per atom
# - E: -7.44 eV/atom


Record 3
# Pr2EuGd, relaxed, DFT PBE
data_Pr2EuGd
_chemical_formula_sum 'Pr2 Eu1 Gd1'
_cell_length_a 5.2213
_cell_length_b 5.2422
_cell_length_c 5.2422
_cell_angle_alpha 90.00
_cell_angle_beta 90.00
_cell_angle_gamma 90.00
_space_group_name_H-M_alt 'P 1'
_space_group_IT_number 1
_space_group_name_Hall 'P 1'
loop_
_atom_site_label
_atom_site_fract_x
_atom_site_fract_y
_atom_site_fract_z
Pr1 0.0000 0.0000 0.5000
Pr2 0.0000 0.5000 0.0000
Eu1 0.5000 0.5000 0.5000
Gd1 0.5000 0.0000 0.0000
# - ΔE_f: 61 meV/atom
# - V: 35.9 Å³ per atom
# - E: -8.42 eV/atom


Record 4
# TaCd2Si, relaxed, DFT PBE
data_TaCd2Si
_chemical_formula_sum 'Ta1 Cd2 Si1'
_cell_length_a 6.0626
_cell_length_b 4.8348
_cell_length_c 2.8903
_cell_angle_alpha 89.75
_cell_angle_beta 76.31
_cell_angle_gamma 113.43
_space_group_name_H-M_alt 'P 1'
_space_group_IT_number 1
_space_group_name_Hall 'P 1'
loop_
_atom_site_label
_atom_site_fract_x
_atom_site_fract_y
_atom_site_fract_z
Cd1 0.0000 0.0000 0.0000
Cd2 0.0000 0.5000 0.5000
Si1 0.5000 0.5000 0.0000
Ta1 0.5000 0.0000 0.5000
# - V: 18.8 Å³ per atom
# - E: -4.51 eV/atom


Look up the E of the first one. -3.40 eV/atom